Entry from Alexandria via LeMat-Bulk: a relaxed structure of CsYCuS3 (PBE-GGA).

Density of states at the Fermi level ... 8.01 states/eV/cell
Final energy ... -5.24 eV per atom
Formation energy from raw total energies ... -1.28 eV/atom
Symmetry ... P2_1/m, No. 11
Total magnetization ... 0.000 μB per atom

Unit cell a=4.008 b=9.359 c=9.732 alpha=111.11 beta=90.00 gamma=90.00
Element x y z (fractional)
1 Cs 0.250 0.211 0.245
2 Cs 0.750 0.789 0.755
3 Y 0.250 0.670 0.140
4 Y 0.750 0.330 0.860
5 Cu 0.250 0.082 0.611
6 Cu 0.750 0.918 0.389
7 S 0.750 0.871 0.141
8 S 0.250 0.129 0.859
9 S 0.250 0.830 0.450
10 S 0.750 0.170 0.550
11 S 0.750 0.476 0.157
12 S 0.250 0.524 0.843